1.
Zr2TlFeSe | PBE-GGA | relaxed

Cell and atoms, written as CIF:
```
data_Zr2TlFeSe
_cell_length_a 5.405
_cell_length_b 5.405
_cell_length_c 5.224
_cell_angle_alpha 90.00
_cell_angle_beta 90.00
_cell_angle_gamma 90.00
_symmetry_space_group_name_H-M 'P 4/m m m'
_symmetry_Int_Tables_number 123
_symmetry_space_group_name_Hall '-P 4 2'
loop_
_atom_site_label
_atom_site_type_symbol
_atom_site_fract_x
_atom_site_fract_y
_atom_site_fract_z
_atom_site_occupancy
Zr1 Zr 0.000 0.500 0.000 1
Tl1 Tl 0.000 0.000 0.000 1
Fe1 Fe 0.500 0.500 0.500 1
Se1 Se 0.000 0.000 0.500 1
```

## Properties
The energy above the most stable polymorph in this dataset comes out at 713 kJ/mol of formula units.


2.
ZrTlFeSe2 | PBE-GGA | relaxed

Cell and atoms, written as CIF:
```
data_ZrTlFeSe2
_cell_length_a 4.649
_cell_length_b 4.649
_cell_length_c 4.994
_cell_angle_alpha 90.00
_cell_angle_beta 90.00
_cell_angle_gamma 90.00
_symmetry_space_group_name_H-M 'P 4/m m m'
_symmetry_Int_Tables_number 123
_symmetry_space_group_name_Hall '-P 4 2'
loop_
_atom_site_label
_atom_site_type_symbol
_atom_site_fract_x
_atom_site_fract_y
_atom_site_fract_z
_atom_site_occupancy
Zr1 Zr 0.000 0.000 0.000 1
Tl1 Tl 0.500 0.500 0.000 1
Fe1 Fe 0.500 0.500 0.500 1
Se1 Se 0.000 0.500 0.500 1
```


3.
Tm3FeSe | PBE-GGA | relaxed

Cell and atoms, written as CIF:
```
data_Tm3FeSe
_cell_length_a 8.028
_cell_length_b 3.764
_cell_length_c 8.147
_cell_angle_alpha 90.00
_cell_angle_beta 109.75
_cell_angle_gamma 90.00
_symmetry_space_group_name_H-M 'P 1 21/m 1'
_symmetry_Int_Tables_number 11
loop_
_symmetry_equiv_pos_as_xyz
'x,y,z'
'-x,-y,-z'
'-x,y+1/2,-z'
'x,-y+1/2,z'
loop_
_atom_site_label
_atom_site_type_symbol
_atom_site_fract_x
_atom_site_fract_y
_atom_site_fract_z
_atom_site_occupancy
Tm1 Tm 0.073 0.250 0.239 1
Tm2 Tm 0.309 0.250 0.941 1
Tm3 Tm 0.332 0.750 0.602 1
Fe1 Fe 0.057 0.250 0.567 1
Se1 Se 0.373 0.750 0.251 1
```


4.
TmFeSe | PBE-GGA | relaxed

Cell and atoms, written as CIF:
```
data_TmFeSe
_cell_length_a 3.6452
_cell_length_b 3.6452
_cell_length_c 10.8473
_cell_angle_alpha 90.00
_cell_angle_beta 90.00
_cell_angle_gamma 120.00
_symmetry_space_group_name_H-M 'P -6 m 2'
_symmetry_Int_Tables_number 187
_symmetry_space_group_name_Hall 'P -6 2'
loop_
_atom_site_label
_atom_site_type_symbol
_atom_site_fract_x
_atom_site_fract_y
_atom_site_fract_z
_atom_site_occupancy
Tm1 Tm 0.0000 0.0000 0.1735 1
Fe1 Fe 0.0000 0.0000 0.5000 1
Fe2 Fe 0.6667 0.3333 0.0000 1
Se1 Se 0.6667 0.3333 0.3537 1
```


5.
Tm2FeSe | PBE-GGA | relaxed

Cell and atoms, written as CIF:
```
data_Tm2FeSe
_cell_length_a 3.450
_cell_length_b 3.450
_cell_length_c 6.816
_cell_angle_alpha 90.00
_cell_angle_beta 90.00
_cell_angle_gamma 90.00
_symmetry_space_group_name_H-M 'P 4/m m m'
_symmetry_Int_Tables_number 123
_symmetry_space_group_name_Hall '-P 4 2'
loop_
_atom_site_label
_atom_site_type_symbol
_atom_site_fract_x
_atom_site_fract_y
_atom_site_fract_z
_atom_site_occupancy
Tm1 Tm 0.000 0.000 0.232 1
Fe1 Fe 0.500 0.500 0.000 1
Se1 Se 0.500 0.500 0.500 1
```

## Properties
The energy above the most stable polymorph in this dataset comes out at 0 kJ/mol of formula units.


6.
Tm5Fe2Se2 | PBE-GGA | relaxed

Cell and atoms, written as CIF:
```
data_Tm5Fe2Se2
_cell_length_a 15.011
_cell_length_b 7.306
_cell_length_c 7.269
_cell_angle_alpha 90.00
_cell_angle_beta 90.00
_cell_angle_gamma 90.00
_symmetry_space_group_name_H-M 'C m c e'
_symmetry_Int_Tables_number 64
_symmetry_space_group_name_Hall '-C 2ac 2'
loop_
_atom_site_label
_atom_site_type_symbol
_atom_site_fract_x
_atom_site_fract_y
_atom_site_fract_z
_atom_site_occupancy
Tm1 Tm 0.000 0.000 0.000 1
Tm2 Tm 0.125 0.172 0.330 1
Fe1 Fe 0.000 0.108 0.606 1
Se1 Se 0.210 0.000 0.000 1
```


M_tot
In order: 2.041 0.000 0.604 2.527 0.695 0.007
Unit: μB/f.u.
Electronic total energy
In order: -23.7 -24.4 -57.6 -34.9 -23.5 -212.6
Unit: eV per cell